No. 1
First-principles (PBE) data for a relaxed structure of Pm6Sn3Os, as listed in the Alexandria database.

Unit cell a=13.5791 b=13.5791 c=12.6786 alpha=90.00 beta=90.00 gamma=120.00
Space group R-3 (No. 148, hexagonal axes)
Asymmetric unit:
Pm: 0.0344 0.8354 0.3949 (multiplicity 18)
Pm: 0.0580 0.8608 0.8845 (multiplicity 18)
Sn: 0.0482 0.6151 0.3132 (multiplicity 18)
Os: 0.0000 0.0000 0.0000 (multiplicity 3)
Os: 0.0000 0.0000 0.5000 (multiplicity 3)

---

No. 2
First-principles (PBE) data for a relaxed structure of PmTa4Os5, as listed in the Alexandria database.

Unit cell a=3.1505 b=3.1505 c=17.4408 alpha=90.00 beta=90.00 gamma=90.00
Space group P4/mmm (No. 123)
Asymmetric unit:
Pm: 0.0000 0.0000 0.0000 (multiplicity 1)
Ta: 0.0000 0.0000 0.2127 (multiplicity 2)
Ta: 0.0000 0.0000 0.4051 (multiplicity 2)
Os: 0.5000 0.5000 0.1318 (multiplicity 2)
Os: 0.5000 0.5000 0.3131 (multiplicity 2)
Os: 0.5000 0.5000 0.5000 (multiplicity 1)

---

No. 3
First-principles (PBE) data for a relaxed structure of PmTaOs2, as listed in the Alexandria database.

Unit cell a=3.2171 b=3.2171 c=7.2161 alpha=90.00 beta=90.00 gamma=90.00
Space group P4/mmm (No. 123)
Asymmetric unit:
Pm: 0.0000 0.0000 0.0000 (multiplicity 1)
Ta: 0.0000 0.0000 0.5000 (multiplicity 1)
Os: 0.5000 0.5000 0.2907 (multiplicity 2)

---

In eV/f.u., the ΔH_f (0 K) values for the records above are, in order, -3.57, -2.56, -0.61.